1.
A relaxed structure of Ni2BPt2, computed with PBE.

## Properties
The value obtained for the total magnetization is 0.29 μB per atom. As for the energy relative to the elements: 28 meV per atom. The energy above the most stable polymorph in this dataset comes out at 0 meV/atom.

Cell: 5.5996 5.5996 4.2308 Å, 90.00 90.00 90.00°
Space group P4/mbm (No. 127)
Unique sites:
Ni 0.1517 0.3483 0.0000 [4 per cell]
B 0.0000 0.0000 0.5000 [2 per cell]
Pt 0.1653 0.6653 0.5000 [4 per cell]

***

2.
A relaxed structure of K2BaPdCl8, computed with PBE.

## Properties
The value obtained for the total magnetization is 0.00 μB per atom. The uncorrected formation energy comes out at -1.396 eV per atom.

Cell: 6.7870 6.7870 8.2285 Å, 90.00 90.00 120.00°
Space group P-3m1 (No. 164)
Unique sites:
K 0.3333 0.6667 0.3512 [2 per cell]
Ba 0.0000 0.0000 0.0000 [1 per cell]
Pd 0.0000 0.0000 0.5000 [1 per cell]
Cl 0.1603 0.3205 0.6752 [6 per cell]
Cl 0.3333 0.6667 0.9867 [2 per cell]

***

3.
A relaxed structure of Nd2ErZn2Ga2, computed with PBE.

## Properties
The value obtained for the total magnetization is 0.00 μB per atom. As for the energy relative to the elements: -404 meV per atom.

Cell: 4.4441 4.4441 28.7645 Å, 90.00 90.00 120.00°
Space group R-3m (No. 166, hexagonal axes)
Unique sites:
Nd 0.0000 0.0000 0.1239 [6 per cell]
Er 0.0000 0.0000 0.0000 [3 per cell]
Zn 0.0000 0.0000 0.3898 [6 per cell]
Ga 0.0000 0.0000 0.2711 [6 per cell]

***

4.
A relaxed structure of PmTlPb2, computed with PBE.

## Properties
The value obtained for the total magnetization is 0.00 μB per atom. As for the energy relative to the elements: -108 meV per atom. The energy above the most stable polymorph in this dataset comes out at 242 meV/atom.

Cell: 7.9181 7.9181 7.9181 Å, 90.00 90.00 90.00°
Space group Fm-3m (No. 225)
Unique sites:
Pm 0.0000 0.0000 0.0000 [4 per cell]
Tl 0.0000 0.0000 0.5000 [4 per cell]
Pb 0.2500 0.2500 0.2500 [8 per cell]